# TaNiHgGe

A geometry-optimized TaNiHgGe structure (PBE-GGA, OQMD).

Its crystal system is cubic. Its total energy is -5.009 eV/atom. The volume comes out at 274.7 Å³ per cell.

It has space group F-43m (No. 216), with a = 6.501 Å, b = 6.501 Å, c = 6.501 Å, α = 90.00°, β = 90.00° and γ = 90.00°. The asymmetric unit holds Ta at (0.000, 0.000, 0.000), Ni at (0.250, 0.250, 0.750), Hg at (0.250, 0.250, 0.250) and Ge at (0.000, 0.000, 0.500).